KP2Cl: optimized geometry, GGA-PBEsol.

Unit cell a=3.031 b=3.031 c=8.818 alpha=90.00 beta=90.00 gamma=105.21
Fractional coordinates of all 4 atoms:
Cl (0.500, 0.500, 0.500)
K (0.500, 0.500, 0.000)
P (0.000, 0.000, 0.287)
P (0.000, 0.000, 0.713)

DOS at the Fermi energy: 1.92 states/eV/f.u.
E_form (uncorrected): 2.502 eV per formula unit
final energy: -12.22 eV/f.u.
excess energy over the best structure of this formula in the dataset: 112.50 kJ/mol of atoms
volume: 78.2 Å³ per cell
space-group type: Cmmm (65)